The following is a DFT calculation (PBE) of a relaxed TbSmEr crystal.

Structure (POSCAR):
```
TbSmEr
1.0
5.035 0.000 0.000
2.511 5.629 0.000
0.011 2.204 6.769
Tb Sm Er
2 2 2
Direct
0.001 0.498 0.252 Tb
0.999 0.502 0.748 Tb
0.333 0.835 0.916 Sm
0.667 0.165 0.084 Sm
0.334 0.832 0.418 Er
0.666 0.168 0.582 Er
```

Computed properties:
Its total magnetic moment is 0.001 Bohr magnetons per cell. For the formation energy, the calculation gives 18 meV per atom. Its crystal system is triclinic. The value obtained for the total energy is -27.7 eV/cell.